Computed, not measured: crystalline PaCrSbO5 at its relaxed geometry at the GGA+U level of DFT.

Cell lengths 6.351, 6.351, 7.745 Å; angles 101.05, 101.05, 108.57 degrees
Element x y z (fractional)
Pa (0.000, 0.500, 0.000)
Pa (0.500, 0.000, 0.500)
Cr (0.014, 0.986, 0.750)
Cr (0.986, 0.014, 0.250)
Sb (0.493, 0.507, 0.750)
Sb (0.507, 0.493, 0.250)
O (0.114, 0.255, 0.122)
O (0.185, 0.815, 0.250)
O (0.255, 0.114, 0.622)
O (0.309, 0.594, 0.914)
O (0.406, 0.691, 0.586)
O (0.594, 0.309, 0.414)
O (0.691, 0.406, 0.086)
O (0.745, 0.886, 0.378)
O (0.815, 0.185, 0.750)
O (0.886, 0.745, 0.878)

Calculated values
Raw total energy, eV per atom: -7.9213